Record 1
# PBE NaTl2In2S4, optimized geometry
# - spin magnetization (μB per formula unit) = 0.00
# - crystal system = monoclinic
# - symmetry = No. 12
data_NaTl2In2S4
_chemical_formula_sum 'Na1 Tl2 In2 S4'
_cell_length_a 4.534
_cell_length_b 8.158
_cell_length_c 7.382
_cell_angle_alpha 104.35
_cell_angle_beta 90.00
_cell_angle_gamma 106.13
_space_group_name_H-M_alt 'P 1'
_space_group_IT_number 1
_space_group_name_Hall 'P 1'
loop_
_atom_site_label
_atom_site_fract_x
_atom_site_fract_y
_atom_site_fract_z
S1 0.207 0.414 0.178
In1 0.334 0.668 0.991
S2 0.529 0.058 0.757
S3 0.471 0.942 0.243
Na1 0.000 0.000 0.000
In2 0.666 0.332 0.009
Tl1 0.117 0.233 0.554
S4 0.793 0.586 0.822
Tl2 0.883 0.767 0.446

Record 2
# PBE Na4Tm3InS8, optimized geometry
# - spin magnetization (μB per formula unit) = 0.00
# - crystal system = trigonal
# - symmetry = No. 166
data_Na4Tm3InS8
_chemical_formula_sum 'Na4 Tm3 In1 S8'
_cell_length_a 7.819
_cell_length_b 8.080
_cell_length_c 7.820
_cell_angle_alpha 118.96
_cell_angle_beta 120.00
_cell_angle_gamma 90.00
_space_group_name_H-M_alt 'P 1'
_space_group_IT_number 1
_space_group_name_Hall 'P 1'
loop_
_atom_site_label
_atom_site_fract_x
_atom_site_fract_y
_atom_site_fract_z
S1 0.255 0.276 0.016
Na1 0.000 0.000 0.500
Na2 0.000 0.000 0.000
Na3 0.500 0.000 0.500
Tm1 0.500 0.500 0.000
S2 0.240 0.724 0.480
In1 0.000 0.500 0.000
S3 0.741 0.723 0.482
S4 0.240 0.724 0.984
S5 0.259 0.277 0.518
S6 0.745 0.724 0.984
Na4 0.500 0.000 0.000
Tm2 0.000 0.500 0.500
S7 0.760 0.276 0.016
S8 0.760 0.276 0.520
Tm3 0.500 0.500 0.500

Record 3
# PBE NaTmIn4S8, optimized geometry
# - spin magnetization (μB per formula unit) = 0.00
# - crystal system = trigonal
# - symmetry = No. 160
data_NaTmIn4S8
_chemical_formula_sum 'Na1 Tm1 In4 S8'
_cell_length_a 7.850
_cell_length_b 7.850
_cell_length_c 7.877
_cell_angle_alpha 60.11
_cell_angle_beta 60.11
_cell_angle_gamma 60.00
_space_group_name_H-M_alt 'P 1'
_space_group_IT_number 1
_space_group_name_Hall 'P 1'
loop_
_atom_site_label
_atom_site_fract_x
_atom_site_fract_y
_atom_site_fract_z
In1 0.006 0.480 0.508
S1 0.760 0.760 0.721
S2 0.758 0.758 0.259
S3 0.245 0.245 0.734
In2 0.480 0.006 0.508
In3 0.006 0.006 0.508
S4 0.758 0.225 0.259
S5 0.777 0.245 0.734
Tm1 0.007 0.007 0.979
In4 0.623 0.623 0.130
S6 0.225 0.758 0.259
Na1 0.373 0.373 0.880
S7 0.245 0.777 0.734
S8 0.238 0.238 0.285

Record 4
# PBE Na2TmInS4, optimized geometry
# - spin magnetization (μB per formula unit) = 0.00
# - crystal system = monoclinic
# - symmetry = No. 10
data_Na2TmInS4
_chemical_formula_sum 'Na2 Tm1 In1 S4'
_cell_length_a 3.885
_cell_length_b 6.742
_cell_length_c 7.095
_cell_angle_alpha 108.81
_cell_angle_beta 90.00
_cell_angle_gamma 90.00
_space_group_name_H-M_alt 'P 1'
_space_group_IT_number 1
_space_group_name_Hall 'P 1'
loop_
_atom_site_label
_atom_site_fract_x
_atom_site_fract_y
_atom_site_fract_z
S1 0.000 0.742 0.226
Na1 0.500 0.000 0.500
S2 0.000 0.258 0.774
S3 0.500 0.234 0.221
S4 0.500 0.766 0.779
In1 0.000 0.000 0.000
Na2 0.000 0.500 0.500
Tm1 0.500 0.500 0.000

Record 5
# PBE Na2UInS5, optimized geometry
# - spin magnetization (μB per formula unit) = 1.00
# - crystal system = orthorhombic
# - symmetry = No. 36
data_Na2UInS5
_chemical_formula_sum 'Na4 U2 In2 S10'
_cell_length_a 4.011
_cell_length_b 8.549
_cell_length_c 13.579
_cell_angle_alpha 90.00
_cell_angle_beta 90.00
_cell_angle_gamma 103.57
_space_group_name_H-M_alt 'P 1'
_space_group_IT_number 1
_space_group_name_Hall 'P 1'
loop_
_atom_site_label
_atom_site_fract_x
_atom_site_fract_y
_atom_site_fract_z
S1 0.265 0.529 0.653
S2 0.384 0.769 0.006
Na1 0.880 0.761 0.806
In1 0.543 0.086 0.940
Na2 0.915 0.829 0.169
S3 0.735 0.471 0.153
Na3 0.120 0.239 0.306
S4 0.616 0.231 0.506
In2 0.457 0.914 0.440
S5 0.500 0.000 0.273
S6 0.284 0.568 0.401
U1 0.236 0.471 0.027
S7 0.500 0.000 0.773
Na4 0.085 0.171 0.669
S8 0.716 0.432 0.901
S9 0.929 0.857 0.549
S10 0.071 0.143 0.049
U2 0.764 0.529 0.527

Record 6
# PBE Na2VInS4, optimized geometry
# - spin magnetization (μB per formula unit) = 2.00
# - crystal system = tetragonal
# - symmetry = No. 82
data_Na2VInS4
_chemical_formula_sum 'Na2 V1 In1 S4'
_cell_length_a 6.811
_cell_length_b 6.811
_cell_length_c 6.811
_cell_angle_alpha 82.52
_cell_angle_beta 124.41
_cell_angle_gamma 124.41
_space_group_name_H-M_alt 'P 1'
_space_group_IT_number 1
_space_group_name_Hall 'P 1'
loop_
_atom_site_label
_atom_site_fract_x
_atom_site_fract_y
_atom_site_fract_z
S1 0.038 0.185 0.620
In1 0.500 0.250 0.750
Na1 0.000 0.000 0.000
S2 0.564 0.380 0.417
S3 0.962 0.583 0.147
Na2 0.500 0.750 0.250
V1 0.000 0.500 0.500
S4 0.436 0.853 0.815

Record 7
# PBE NaYIn4S8, optimized geometry
# - spin magnetization (μB per formula unit) = 0.00
# - crystal system = trigonal
# - symmetry = No. 160
data_NaYIn4S8
_chemical_formula_sum 'Na1 Y1 In4 S8'
_cell_length_a 7.859
_cell_length_b 7.859
_cell_length_c 7.917
_cell_angle_alpha 60.24
_cell_angle_beta 60.24
_cell_angle_gamma 60.00
_space_group_name_H-M_alt 'P 1'
_space_group_IT_number 1
_space_group_name_Hall 'P 1'
loop_
_atom_site_label
_atom_site_fract_x
_atom_site_fract_y
_atom_site_fract_z
S1 0.247 0.247 0.730
S2 0.756 0.226 0.262
Y1 0.007 0.007 0.979
In1 0.480 0.006 0.508
S3 0.776 0.247 0.730
S4 0.756 0.756 0.262
In2 0.006 0.480 0.508
S5 0.759 0.759 0.722
Na1 0.372 0.372 0.883
S6 0.247 0.776 0.730
S7 0.238 0.238 0.286
In3 0.623 0.623 0.131
S8 0.226 0.756 0.262
In4 0.006 0.006 0.508

Record 8
# PBE Na4ZrIn3S8, optimized geometry
# - spin magnetization (μB per formula unit) = 0.00
# - crystal system = trigonal
# - symmetry = No. 166
data_Na4ZrIn3S8
_chemical_formula_sum 'Na4 Zr1 In3 S8'
_cell_length_a 7.757
_cell_length_b 8.016
_cell_length_c 7.756
_cell_angle_alpha 118.96
_cell_angle_beta 120.00
_cell_angle_gamma 90.00
_space_group_name_H-M_alt 'P 1'
_space_group_IT_number 1
_space_group_name_Hall 'P 1'
loop_
_atom_site_label
_atom_site_fract_x
_atom_site_fract_y
_atom_site_fract_z
Na1 0.500 0.000 0.000
In1 0.000 0.500 0.500
In2 0.500 0.500 0.500
S1 0.259 0.279 0.519
S2 0.235 0.720 0.985
S3 0.765 0.280 0.015
In3 0.500 0.500 0.000
S4 0.251 0.280 0.015
Na2 0.500 0.000 0.500
Na3 0.000 0.000 0.000
S5 0.749 0.720 0.985
Na4 0.000 0.000 0.500
S6 0.741 0.721 0.481
S7 0.235 0.720 0.471
S8 0.765 0.280 0.529
Zr1 0.000 0.500 0.000

Record 9
# PBE Na3InSb3, optimized geometry
# - spin magnetization (μB per formula unit) = 0.00
# - relative energy among the computed polymorphs (eV/atom) = 0.098
# - crystal system = monoclinic
# - symmetry = No. 12
data_Na3InSb3
_chemical_formula_sum 'Na6 In2 Sb6'
_cell_length_a 7.716
_cell_length_b 7.716
_cell_length_c 7.199
_cell_angle_alpha 92.02
_cell_angle_beta 92.02
_cell_angle_gamma 100.44
_space_group_name_H-M_alt 'P 1'
_space_group_IT_number 1
_space_group_name_Hall 'P 1'
loop_
_atom_site_label
_atom_site_fract_x
_atom_site_fract_y
_atom_site_fract_z
Sb1 0.513 0.969 0.706
Na1 0.153 0.847 0.500
In1 0.140 0.140 0.192
In2 0.860 0.860 0.808
Na2 0.240 0.760 0.000
Na3 0.760 0.240 0.000
Sb2 0.031 0.487 0.294
Sb3 0.487 0.031 0.294
Na4 0.523 0.523 0.735
Na5 0.847 0.153 0.500
Sb4 0.198 0.198 0.797
Sb5 0.802 0.802 0.203
Na6 0.477 0.477 0.265
Sb6 0.969 0.513 0.706

Record 10
# PBE NaIn4Sb, optimized geometry
# - spin magnetization (μB per formula unit) = 0.00
# - crystal system = cubic
# - symmetry = No. 216
data_NaIn4Sb
_chemical_formula_sum 'Na1 In4 Sb1'
_cell_length_a 6.268
_cell_length_b 6.268
_cell_length_c 6.268
_cell_angle_alpha 60.00
_cell_angle_beta 60.00
_cell_angle_gamma 60.00
_space_group_name_H-M_alt 'P 1'
_space_group_IT_number 1
_space_group_name_Hall 'P 1'
loop_
_atom_site_label
_atom_site_fract_x
_atom_site_fract_y
_atom_site_fract_z
In1 0.125 0.625 0.625
In2 0.625 0.625 0.125
Sb1 0.000 0.000 0.000
In3 0.625 0.625 0.625
Na1 0.250 0.250 0.250
In4 0.625 0.125 0.625

Record 11
# PBE Na3InSb, optimized geometry
# - spin magnetization (μB per formula unit) = 0.00
# - relative energy among the computed polymorphs (eV/atom) = 0.172
# - crystal system = cubic
# - symmetry = No. 221
data_Na3InSb
_chemical_formula_sum 'Na3 In1 Sb1'
_cell_length_a 5.860
_cell_length_b 5.860
_cell_length_c 5.860
_cell_angle_alpha 90.00
_cell_angle_beta 90.00
_cell_angle_gamma 90.00
_space_group_name_H-M_alt 'P 1'
_space_group_IT_number 1
_space_group_name_Hall 'P 1'
loop_
_atom_site_label
_atom_site_fract_x
_atom_site_fract_y
_atom_site_fract_z
In1 0.500 0.500 0.500
Na1 0.000 0.500 0.000
Na2 0.000 0.000 0.500
Sb1 0.000 0.000 0.000
Na3 0.500 0.000 0.000

no.,E_form (uncorrected) (eV per formula unit)
1,-4.5
2,-25.5
3,-12.3
4,-10.7
5,-9.4
6,-6.9
7,-12.3
8,-16.2
9,-1.3
10,0.2
11,0.0